This record from Alexandria via LeMat-Bulk describes a geometry-optimized Sc2AlS structure. The functional is GGA-PBE.

Cell: 3.4470 3.4470 26.2334 Å, 90.00 90.00 120.00°
Space group R-3m (No. 166, hexagonal axes)
Inequivalent atoms, fractional coordinates:
1 Sc 0.0000 0.0000 0.1084 x6
2 Al 0.0000 0.0000 0.0000 x3
3 S 0.0000 0.0000 0.5000 x3

Calculated values
uncorrected formation energy: -246 kJ/mol of formula units


This record from Alexandria via LeMat-Bulk describes a geometry-optimized Li2AgHg2 structure. The functional is GGA-PBE.

Cell: 7.656 7.656 3.237 Å, 90.00 90.00 90.00°
Space group P4/mbm (No. 127)
Inequivalent atoms, fractional coordinates:
1 Li 0.161 0.339 0.000 x4
2 Ag 0.000 0.000 0.500 x2
3 Hg 0.139 0.639 0.500 x4

Calculated values
energy of formation from the pure elements: -220 meV/atom


This record from Alexandria via LeMat-Bulk describes a geometry-optimized Cs2DySi2S6 structure. The functional is GGA-PBE.

Cell: 12.573 7.259 8.001 Å, 90.00 121.79 90.00°
Space group C2/m (No. 12)
Inequivalent atoms, fractional coordinates:
1 Cs 0.226 0.000 0.211 x4
2 Dy 0.000 0.000 0.500 x2
3 Si 0.054 0.500 0.194 x4
4 S 0.020 0.256 0.767 x8
5 S 0.246 0.500 0.299 x4

Calculated values
uncorrected formation energy: -1139 kJ/mol of formula units


This record from Alexandria via LeMat-Bulk describes a geometry-optimized Nd3CuPd2 structure. The functional is GGA-PBE.

Cell: 12.040 4.127 12.052 Å, 90.00 90.00 90.00°
Space group Pnma (No. 62)
Inequivalent atoms, fractional coordinates:
1 Nd 0.055 0.250 0.129 x4
2 Nd 0.125 0.750 0.564 x4
3 Nd 0.213 0.250 0.813 x4
4 Cu 0.123 0.250 0.378 x4
5 Pd 0.009 0.750 0.308 x4
6 Pd 0.183 0.750 0.994 x4

Calculated values
energy of formation from the pure elements: -556 meV/atom


This record from Alexandria via LeMat-Bulk describes a geometry-optimized Na2PtPb structure. The functional is GGA-PBE.

Cell: 3.956 3.956 5.793 Å, 90.00 90.00 90.00°
Space group P4/mmm (No. 123)
Inequivalent atoms, fractional coordinates:
1 Na 0.000 0.000 0.221 x2
2 Pt 0.500 0.500 0.000 x1
3 Pb 0.500 0.500 0.500 x1

Calculated values
energy of formation from the pure elements: -58 meV/atom


This record from Alexandria via LeMat-Bulk describes a geometry-optimized CuNiRh structure. The functional is GGA-PBE.

Cell: 2.707 4.403 12.878 Å, 90.00 90.00 90.00°
Space group Fmm2 (No. 42)
Inequivalent atoms, fractional coordinates:
1 Cu 0.000 0.000 0.000 x4
2 Ni 0.000 0.000 0.340 x4
3 Rh 0.000 0.000 0.673 x4

Calculated values
energy of formation from the pure elements: 162 meV/atom


This record from Alexandria via LeMat-Bulk describes a geometry-optimized Ca4YRh structure. The functional is GGA-PBE.

Cell: 9.221 9.221 9.221 Å, 90.00 90.00 90.00°
Space group F-43m (No. 216)
Inequivalent atoms, fractional coordinates:
1 Ca 0.125 0.125 0.125 x16
2 Y 0.000 0.000 0.500 x4
3 Rh 0.250 0.250 0.750 x4

Calculated values
energy of formation from the pure elements: 607 meV/atom


This record from Alexandria via LeMat-Bulk describes a geometry-optimized PmZnIr4 structure. The functional is GGA-PBE.

Cell: 7.505 7.505 7.505 Å, 90.00 90.00 90.00°
Space group F-43m (No. 216)
Inequivalent atoms, fractional coordinates:
1 Pm 0.000 0.000 0.000 x4
2 Zn 0.250 0.250 0.250 x4
3 Ir 0.124 0.124 0.624 x16

Calculated values
energy of formation from the pure elements: -289 meV/atom


This record from Alexandria via LeMat-Bulk describes a geometry-optimized PmAsS2 structure. The functional is GGA-PBE.

Cell: 3.7455 3.7455 25.0961 Å, 90.00 90.00 120.00°
Space group R-3m (No. 166, hexagonal axes)
Inequivalent atoms, fractional coordinates:
1 Pm 0.0000 0.0000 0.0000 x3
2 As 0.0000 0.0000 0.5000 x3
3 S 0.0000 0.0000 0.1104 x6

Calculated values
uncorrected formation energy: -123 kJ/mol of formula units


This record from Alexandria via LeMat-Bulk describes a geometry-optimized ScTiBi2Ir structure. The functional is GGA-PBE.

Cell: 5.231 5.231 4.622 Å, 90.00 90.00 90.00°
Space group P4/mmm (No. 123)
Inequivalent atoms, fractional coordinates:
1 Sc 0.000 0.000 0.000 x1
2 Ti 0.000 0.000 0.500 x1
3 Bi 0.000 0.500 0.500 x2
4 Ir 0.500 0.500 0.000 x1

Calculated values
energy of formation from the pure elements: 886 meV/atom


This record from Alexandria via LeMat-Bulk describes a geometry-optimized PrSe2I2 structure. The functional is GGA-PBE.

Cell: 8.322 14.626 8.744 Å, 90.00 107.13 90.00°
Space group C2/m (No. 12)
Inequivalent atoms, fractional coordinates:
1 Pr 0.000 0.169 0.000 x4
2 Se 0.087 0.000 0.227 x4
3 Se 0.237 0.000 0.047 x4
4 I 0.203 0.226 0.754 x8

Calculated values
uncorrected formation energy: -518 kJ/mol of formula units


This record from Alexandria via LeMat-Bulk describes a geometry-optimized TaCl structure. The functional is GGA-PBE.

Cell: 11.018 11.018 3.026 Å, 90.00 90.00 90.00°
Space group I4/m (No. 87)
Inequivalent atoms, fractional coordinates:
1 Ta 0.171 0.689 0.000 x8
2 Cl 0.005 0.784 0.500 x8

Calculated values
uncorrected formation energy: -12 kJ/mol of formula units


This record from Alexandria via LeMat-Bulk describes a geometry-optimized Tm4SnRu structure. The functional is GGA-PBE.

Cell: 7.562 6.872 6.634 Å, 90.00 90.26 90.00°
Space group P2_1/c (No. 14)
Inequivalent atoms, fractional coordinates:
1 Tm 0.138 0.156 0.165 x4
2 Tm 0.300 0.645 0.131 x4
3 Sn 0.500 0.000 0.000 x2
4 Ru 0.000 0.000 0.500 x2

Calculated values
energy of formation from the pure elements: -312 meV/atom


This record from Alexandria via LeMat-Bulk describes a geometry-optimized KSc2Se structure. The functional is GGA-PBE.

Cell: 3.7369 3.7369 29.9666 Å, 90.00 90.00 120.00°
Space group R-3m (No. 166, hexagonal axes)
Inequivalent atoms, fractional coordinates:
1 K 0.0000 0.0000 0.0000 x3
2 Sc 0.0000 0.0000 0.2185 x6
3 Se 0.0000 0.0000 0.5000 x3

Calculated values
uncorrected formation energy: -185 kJ/mol of formula units


This record from Alexandria via LeMat-Bulk describes a geometry-optimized Y2NbV structure. The functional is GGA-PBE.

Cell: 7.961 7.961 6.121 Å, 90.00 90.00 90.00°
Space group I-42d (No. 122)
Inequivalent atoms, fractional coordinates:
1 Y 0.231 0.250 0.125 x8
2 Nb 0.000 0.000 0.500 x4
3 V 0.000 0.000 0.000 x4

Calculated values
energy of formation from the pure elements: 851 meV/atom


This record from Alexandria via LeMat-Bulk describes a geometry-optimized PrYHoZn structure. The functional is GGA-PBE.

Cell: 7.655 7.655 7.655 Å, 90.00 90.00 90.00°
Space group F-43m (No. 216)
Inequivalent atoms, fractional coordinates:
1 Pr 0.000 0.000 0.000 x4
2 Y 0.000 0.000 0.500 x4
3 Ho 0.250 0.250 0.250 x4
4 Zn 0.250 0.250 0.750 x4

Calculated values
energy of formation from the pure elements: 41 meV/atom


This record from Alexandria via LeMat-Bulk describes a geometry-optimized Pu2GaSi4Ir3 structure. The functional is GGA-PBE.

Cell: 4.140 4.140 10.082 Å, 90.00 90.00 90.00°
Space group P-4m2 (No. 115)
Inequivalent atoms, fractional coordinates:
1 Pu 0.000 0.500 0.246 x2
2 Ga 0.000 0.000 0.500 x1
3 Si 0.000 0.000 0.000 x1
4 Si 0.000 0.500 0.642 x2
5 Si 0.500 0.500 0.000 x1
6 Ir 0.000 0.500 0.876 x2
7 Ir 0.500 0.500 0.500 x1

Calculated values
uncorrected formation energy: -665 kJ/mol of formula units


This record from Alexandria via LeMat-Bulk describes a geometry-optimized Rb2LaNb2 structure. The functional is GGA-PBE.

Cell: 3.694 3.694 29.753 Å, 90.00 90.00 90.00°
Space group I4/mmm (No. 139)
Inequivalent atoms, fractional coordinates:
1 Rb 0.000 0.000 0.131 x4
2 La 0.000 0.000 0.500 x2
3 Nb 0.000 0.500 0.250 x4

Calculated values
energy of formation from the pure elements: 918 meV/atom


This record from Alexandria via LeMat-Bulk describes a geometry-optimized Na3CePr2Te6 structure. The functional is GGA-PBE.

Cell: 7.933 13.734 7.996 Å, 90.00 109.33 90.00°
Space group C2/m (No. 12)
Inequivalent atoms, fractional coordinates:
1 Na 0.000 0.000 0.000 x2
2 Na 0.000 0.332 0.000 x4
3 Ce 0.000 0.500 0.500 x2
4 Pr 0.000 0.167 0.500 x4
5 Te 0.246 0.334 0.741 x8
6 Te 0.248 0.000 0.741 x4

Calculated values
uncorrected formation energy: -1509 kJ/mol of formula units


This record from Alexandria via LeMat-Bulk describes a geometry-optimized YHf2O structure. The functional is GGA-PBE.

Cell: 6.591 6.591 8.585 Å, 90.00 90.00 90.00°
Space group I-42d (No. 122)
Inequivalent atoms, fractional coordinates:
1 Y 0.000 0.000 0.000 x4
2 Hf 0.083 0.250 0.625 x8
3 O 0.000 0.000 0.500 x4

Calculated values
uncorrected formation energy: -397 kJ/mol of formula units


This record from Alexandria via LeMat-Bulk describes a geometry-optimized NaCePN3 structure. The functional is GGA-PBE.

Cell: 12.379 3.816 6.624 Å, 90.00 107.16 90.00°
Space group C2/m (No. 12)
Inequivalent atoms, fractional coordinates:
1 Na 0.157 0.000 0.073 x4
2 Ce 0.147 0.000 0.584 x4
3 P 0.006 0.500 0.196 x4
4 N 0.007 0.000 0.253 x4
5 N 0.129 0.500 0.791 x4
6 N 0.149 0.500 0.334 x4

Calculated values
uncorrected formation energy: -324 kJ/mol of formula units


This record from Alexandria via LeMat-Bulk describes a geometry-optimized Na2LaHfS4 structure. The functional is GGA-PBE.

Cell: 6.887 3.897 7.103 Å, 90.00 108.31 90.00°
Space group P2/m (No. 10)
Inequivalent atoms, fractional coordinates:
1 Na 0.000 0.000 0.000 x1
2 Na 0.500 0.500 0.000 x1
3 La 0.000 0.500 0.500 x1
4 Hf 0.500 0.000 0.500 x1
5 S 0.275 0.000 0.734 x2
6 S 0.284 0.500 0.280 x2

Calculated values
uncorrected formation energy: -1233 kJ/mol of formula units


This record from Alexandria via LeMat-Bulk describes a geometry-optimized MgCo2WI structure. The functional is GGA-PBE.

Cell: 4.559 4.559 5.094 Å, 90.00 90.00 90.00°
Space group P4/mmm (No. 123)
Inequivalent atoms, fractional coordinates:
1 Mg 0.000 0.000 0.000 x1
2 Co 0.000 0.500 0.500 x2
3 W 0.500 0.500 0.000 x1
4 I 0.000 0.000 0.500 x1

Calculated values
uncorrected formation energy: 959 kJ/mol of formula units


This record from Alexandria via LeMat-Bulk describes a geometry-optimized Rb3Cd2Ga4 structure. The functional is GGA-PBE.

Cell: 4.816 7.111 9.849 Å, 71.65 76.03 70.25°
Space group P-1 (No. 2)
Inequivalent atoms, fractional coordinates:
1 Rb 0.000 0.000 0.000 x1
2 Rb 0.375 0.884 0.366 x2
3 Cd 0.325 0.588 0.761 x2
4 Ga 0.088 0.449 0.375 x2
5 Ga 0.258 0.403 0.081 x2

Calculated values
energy of formation from the pure elements: -32 meV/atom


| no. | VASP energy (eV per atom) |
| --- | --- |
| 1 | -5.769 |
| 2 | -1.676 |
| 3 | -4.884 |
| 4 | -5.353 |
| 5 | -3.155 |
| 6 | -5.581 |
| 7 | -3.030 |
| 8 | -7.200 |
| 9 | -4.733 |
| 10 | -5.284 |
| 11 | -4.042 |
| 12 | -6.912 |
| 13 | -5.507 |
| 14 | -4.790 |
| 15 | -7.178 |
| 16 | -4.233 |
| 17 | -8.685 |
| 18 | -4.483 |
| 19 | -4.495 |
| 20 | -8.860 |
| 21 | -6.832 |
| 22 | -5.851 |
| 23 | -4.075 |
| 24 | -1.904 |